[1]
8
Lattice="5.470 0.000 1.615 2.497 4.867 1.615 -0.033 -0.020 10.185" Properties=species:S:1:pos:R:3 comment="NaAc3Tl4 GGA-PBE optimized geometry" dft_energy_ev_per_atom=-3.20 e_above_lowest_polymorph_ev_per_atom=0.0000 n_ef_per_ev_atom=0.881 space_group="No. 166" total_magnetization_mub_per_fu=0.000 pbc="T T T"
Na 0.000 0.000 0.000
Ac 2.034 1.243 3.183
Ac 5.900 3.604 10.231
Ac 3.967 2.423 6.707
Tl 6.972 4.260 6.598
Tl 2.951 1.803 10.149
Tl 0.961 0.587 6.816
Tl 4.983 3.044 3.265

---

[2]
3
Lattice="3.615 0.000 0.000 0.000 3.615 0.000 -1.808 -1.808 8.415" Properties=species:S:1:pos:R:3 comment="CaLaTh GGA-PBE optimized geometry" dft_energy_ev_per_atom=-4.68 e_above_lowest_polymorph_ev_per_atom=0.0781 n_ef_per_ev_atom=1.338 space_group="No. 107" total_magnetization_mub_per_fu=0.000 pbc="T T T"
Ca 1.808 1.808 8.315
Th 0.000 0.000 5.487
La 1.808 1.808 3.027

---

[3]
15
Lattice="8.430 0.000 0.000 -4.215 7.302 -0.025 0.000 -4.840 7.855" Properties=species:S:1:pos:R:3 comment="La8PtRh3Br3 GGA-PBE optimized geometry" dft_energy_ev_per_atom=-5.98 n_ef_per_ev_atom=0.512 e_form_raw_kcal_per_mol_atoms=-26.4 space_group="No. 12" total_magnetization_mub_per_fu=0.000 pbc="T T T"
La 0.000 2.422 2.336
La 4.215 0.039 5.494
La 4.215 2.403 2.348
La 0.000 0.059 5.483
La 6.277 -1.194 2.360
La -2.062 3.655 5.471
La 2.152 -1.194 2.360
La 2.062 3.655 5.471
Pt 0.000 -2.420 3.928
Rh 4.215 -2.420 3.928
Rh 2.107 1.231 3.915
Rh -2.107 1.231 3.915
Br 0.000 0.000 0.000
Br -2.107 3.651 -0.012
Br 2.107 3.651 -0.012

---

[4]
14
Lattice="6.705 0.000 0.000 -3.352 5.806 0.000 0.000 0.000 8.568" Properties=species:S:1:pos:R:3 comment="Cs3KTe2O8 GGA-PBE optimized geometry" dft_energy_ev_per_atom=-4.96 n_ef_per_ev_atom=0.000 e_form_raw_kcal_per_mol_atoms=-32.6 space_group="No. 164" total_magnetization_mub_per_fu=0.283 pbc="T T T"
Cs 0.000 3.871 5.756
Cs 3.352 1.935 2.812
Cs 0.000 0.000 0.000
K 0.000 0.000 4.284
Te 0.000 3.871 1.894
Te 3.352 1.935 6.674
O 0.000 3.871 0.054
O 3.352 1.935 8.514
O -1.499 4.736 2.556
O 4.851 1.070 6.012
O 0.000 2.140 2.556
O 3.352 3.666 6.012
O 1.499 4.736 2.556
O 1.853 1.070 6.012

---

[5]
4
Lattice="-2.279 -4.581 2.826 -0.936 0.291 5.762 -5.462 0.261 2.064" Properties=species:S:1:pos:R:3 comment="RbSb2I GGA-PBE optimized geometry" dft_energy_ev_per_atom=-2.32 e_above_lowest_polymorph_ev_per_atom=0.2535 n_ef_per_ev_atom=0.768 e_form_raw_kcal_per_mol_atoms=8.6 space_group="No. 225" total_magnetization_mub_per_fu=0.000 pbc="T T T"
I -4.338 -2.014 5.326
Sb -2.169 -1.007 2.663
Sb -6.507 -3.021 7.989
Rb 0.000 0.000 0.000

---

[6]
5
Lattice="4.624 0.000 0.000 0.000 4.624 0.000 0.000 0.000 4.624" Properties=species:S:1:pos:R:3 comment="LaB3Pb GGA-PBE optimized geometry" dft_energy_ev_per_atom=-4.12 e_above_lowest_polymorph_ev_per_atom=0.0000 n_ef_per_ev_atom=0.807 space_group="No. 221" total_magnetization_mub_per_fu=0.000 pbc="T T T"
Pb 0.000 0.000 0.000
B 0.000 2.312 0.000
B 0.000 0.000 2.312
B 2.312 0.000 0.000
La 2.312 2.312 2.312

---

[7]
5
Lattice="4.137 0.000 0.000 0.000 4.137 0.000 0.000 0.000 5.225" Properties=species:S:1:pos:R:3 comment="SnAuSN2 GGA-PBE optimized geometry" dft_energy_ev_per_atom=-4.16 e_above_lowest_polymorph_ev_per_atom=0.0462 n_ef_per_ev_atom=0.495 e_form_raw_kcal_per_mol_atoms=33.5 space_group="No. 123" total_magnetization_mub_per_fu=2.617 pbc="T T T"
S 0.000 0.000 2.613
Au 0.000 0.000 0.000
Sn 2.068 2.068 2.613
N 0.000 2.068 0.000
N 2.068 0.000 0.000

---

[8]
4
Lattice="-1.764 -0.705 -2.440 1.238 -0.075 -2.833 1.967 -9.728 -0.572" Properties=species:S:1:pos:R:3 comment="HfScTi2 GGA-PBE optimized geometry" dft_energy_ev_per_atom=-7.92 e_above_lowest_polymorph_ev_per_atom=0.0000 n_ef_per_ev_atom=1.541 space_group="No. 160" total_magnetization_mub_per_fu=0.000 pbc="T T T"
Hf -0.349 -0.529 -3.514
Sc 0.719 -5.247 -2.923
Ti 1.440 -7.402 -0.863
Ti 0.350 -2.583 -1.467

---

[9]
8
Lattice="-1.430 -3.127 2.699 6.931 -3.050 0.140 -0.618 5.104 5.586" Properties=species:S:1:pos:R:3 comment="La2ZrScSb4 GGA-PBE optimized geometry" dft_energy_ev_per_atom=-6.17 n_ef_per_ev_atom=0.255 e_form_raw_kcal_per_mol_atoms=-23.4 space_group="No. 10" total_magnetization_mub_per_fu=0.000 pbc="T T T"
La -1.024 0.988 4.142
La 3.156 1.027 2.863
Zr 0.000 0.000 0.000
Sc 2.750 -3.088 1.419
Sb 0.815 -1.166 2.621
Sb 4.068 0.092 5.803
Sb 1.316 3.186 4.388
Sb 4.997 -1.132 1.337

---

[10]
17
Lattice="-1.578 -1.341 5.074 5.275 1.064 -1.038 -2.092 13.119 2.817" Properties=species:S:1:pos:R:3 comment="Li9Ca2Zn6 GGA-PBE optimized geometry" dft_energy_ev_per_atom=-1.74 n_ef_per_ev_atom=0.401 space_group="No. 191" total_magnetization_mub_per_fu=0.000 pbc="T T T"
Li -2.535 10.278 4.888
Li 0.892 11.481 1.832
Li 0.102 10.810 4.369
Li -1.135 1.499 3.003
Li 2.292 2.702 -0.053
Li 1.502 2.031 2.484
Li -1.835 5.889 3.945
Li 1.592 7.091 0.890
Li 0.802 6.421 3.427
Ca -1.395 8.745 1.878
Ca -0.697 4.374 0.939
Zn 2.991 0.262 1.000
Zn 0.706 -0.539 3.037
Zn 1.593 9.024 2.881
Zn -0.691 8.223 4.918
Zn 0.011 3.817 3.972
Zn 2.296 4.619 1.935

---

[11]
16
Lattice="-1.024 7.163 5.440 -8.717 1.504 -3.621 1.837 -8.133 3.522" Properties=species:S:1:pos:R:3 comment="Ba8Pt3RhCl4 GGA-PBE optimized geometry" dft_energy_ev_per_atom=-4.31 n_ef_per_ev_atom=0.650 e_form_raw_kcal_per_mol_atoms=-29.8 space_group="No. 166" total_magnetization_mub_per_fu=0.001 pbc="T T T"
Ba -4.723 -5.216 2.147
Ba -5.659 -1.079 0.356
Ba -1.739 -1.942 2.230
Ba -5.244 -1.572 4.915
Ba -2.660 2.106 0.426
Ba -6.165 2.476 3.112
Ba -2.245 1.613 4.985
Ba -3.180 5.750 3.194
Pt -4.870 4.333 0.909
Pt -3.952 0.267 2.671
Pt -3.440 -3.314 -0.049
Rh -4.358 0.752 -1.810
Cl -0.512 3.581 2.720
Cl 0.406 -0.485 4.481
Cl 0.000 0.000 0.000
Cl 0.918 -4.066 1.761

---

[12]
5
Lattice="4.074 0.000 0.000 0.000 4.072 0.000 0.000 0.000 4.074" Properties=species:S:1:pos:R:3 comment="ReBPt2C GGA-PBE optimized geometry" dft_energy_ev_per_atom=-6.96 n_ef_per_ev_atom=0.377 space_group="No. 123" total_magnetization_mub_per_fu=0.000 pbc="T T T"
Re 0.000 2.036 0.000
C 0.000 0.000 0.000
B 2.037 2.036 2.037
Pt 0.000 0.000 2.037
Pt 2.037 0.000 0.000

---

[13]
4
Lattice="-1.976 -3.589 -0.422 -0.841 -2.291 3.318 -8.991 2.362 1.910" Properties=species:S:1:pos:R:3 comment="BaHoHg2 GGA-PBE optimized geometry" dft_energy_ev_per_atom=-2.08 n_ef_per_ev_atom=0.574 space_group="No. 166" total_magnetization_mub_per_fu=0.000 pbc="T T T"
Ba -5.904 -1.759 2.403
Hg -9.149 -2.481 3.639
Hg -2.658 -1.037 1.167
Ho 0.000 0.000 0.000

---

[14]
5
Lattice="4.119 0.000 0.000 0.000 4.119 0.000 0.000 0.000 3.721" Properties=species:S:1:pos:R:3 comment="MnBeV2Ru GGA-PBE optimized geometry" dft_energy_ev_per_atom=-7.47 n_ef_per_ev_atom=1.386 space_group="No. 123" total_magnetization_mub_per_fu=0.002 pbc="T T T"
Ru 2.059 2.059 1.861
Mn 0.000 0.000 1.861
Be 0.000 0.000 0.000
V 0.000 2.059 0.000
V 2.059 0.000 0.000

---

[15]
5
Lattice="-3.771 2.825 0.924 0.234 -1.227 4.706 2.963 3.689 0.814" Properties=species:S:1:pos:R:3 comment="ZrReRu2Se GGA-PBE optimized geometry" dft_energy_ev_per_atom=-6.49 n_ef_per_ev_atom=1.257 e_form_raw_kcal_per_mol_atoms=48.9 space_group="No. 123" total_magnetization_mub_per_fu=0.738 pbc="T T T"
Re 0.117 -0.613 2.353
Se -0.287 2.643 3.222
Zr 0.000 0.000 0.000
Ru 1.481 1.844 0.407
Ru -1.885 1.412 0.462

---

[16]
10
Lattice="-0.646 4.394 0.366 -3.069 -0.042 -4.912 -5.785 -1.696 10.159" Properties=species:S:1:pos:R:3 comment="Pm2ThOs2 GGA-PBE optimized geometry" dft_energy_ev_per_atom=-7.99 e_above_lowest_polymorph_ev_per_atom=0.0743 n_ef_per_ev_atom=0.652 space_group="No. 11" total_magnetization_mub_per_fu=0.000 pbc="T T T"
Pm -7.548 -0.416 5.246
Pm -1.952 3.072 0.367
Pm -4.080 0.191 4.079
Pm -5.419 2.465 1.534
Th -3.790 0.731 -1.899
Th -5.710 1.925 7.512
Os -6.838 -0.058 2.194
Os -2.662 2.713 3.419
Os -6.766 -0.566 8.423
Os -2.734 3.221 -2.811

---

[17]
10
Lattice="-0.269 3.052 7.225 -2.274 -6.949 2.851 2.849 -0.758 0.426" Properties=species:S:1:pos:R:3 comment="KPd2O2 GGA-PBE optimized geometry" dft_energy_ev_per_atom=-4.49 e_above_lowest_polymorph_ev_per_atom=0.3851 n_ef_per_ev_atom=0.902 e_form_raw_kcal_per_mol_atoms=-4.8 space_group="No. 127" total_magnetization_mub_per_fu=0.452 pbc="T T T"
K 0.000 0.000 0.000
K -1.271 -1.948 5.038
O -1.727 -4.378 3.761
O -1.944 -3.104 7.477
O -0.816 0.481 6.314
O -0.599 -0.793 2.598
Pd -0.004 -4.299 2.792
Pd -0.754 -4.656 7.177
Pd 0.310 -0.355 7.709
Pd 1.060 0.002 3.324

---

[18]
8
Lattice="7.577 0.000 0.000 0.000 7.577 0.000 3.788 3.788 2.654" Properties=species:S:1:pos:R:3 comment="Cd2MoRu GGA-PBE optimized geometry" dft_energy_ev_per_atom=-4.49 e_above_lowest_polymorph_ev_per_atom=0.8730 n_ef_per_ev_atom=1.082 space_group="No. 122" total_magnetization_mub_per_fu=0.000 pbc="T T T"
Ru 0.000 0.000 0.000
Ru 7.577 3.788 1.327
Mo 3.788 3.788 0.000
Mo 3.788 7.577 1.327
Cd 5.764 1.894 0.664
Cd 1.813 5.683 0.664
Cd 5.683 5.601 1.991
Cd 9.471 9.552 1.991

---

[19]
5
Lattice="5.691 0.000 0.000 0.000 4.510 0.000 0.000 0.000 5.691" Properties=species:S:1:pos:R:3 comment="TiCd2IrI GGA-PBE optimized geometry" dft_energy_ev_per_atom=-3.30 n_ef_per_ev_atom=1.094 e_form_raw_kcal_per_mol_atoms=16.8 space_group="No. 123" total_magnetization_mub_per_fu=0.001 pbc="T T T"
I 2.846 2.255 2.846
Ir 0.000 2.255 0.000
Ti 0.000 0.000 0.000
Cd 0.000 0.000 2.846
Cd 2.846 0.000 0.000

---

[20]
16
Lattice="5.056 0.000 0.000 0.000 7.410 0.000 0.000 0.000 10.112" Properties=species:S:1:pos:R:3 comment="PmSc3Cd4 GGA-PBE optimized geometry" dft_energy_ev_per_atom=-3.71 n_ef_per_ev_atom=0.957 space_group="No. 123" total_magnetization_mub_per_fu=0.468 pbc="T T T"
Sc 0.000 0.000 0.000
Sc 0.000 0.000 5.056
Sc 2.531 0.000 7.584
Sc 2.526 0.000 2.528
Sc 2.530 3.705 7.584
Sc 2.526 3.705 2.528
Cd 2.528 5.694 0.000
Cd 2.528 5.694 5.056
Cd 2.528 1.716 0.000
Cd 2.528 1.716 5.056
Cd 0.002 5.694 7.584
Cd 5.054 5.694 2.528
Cd 5.054 1.716 2.528
Cd 0.002 1.716 7.584
Pm 0.000 3.705 0.000
Pm 0.000 3.705 5.056

---

[21]
12
Lattice="-2.709 1.300 -1.082 -3.710 -5.597 2.564 0.565 5.347 5.011" Properties=species:S:1:pos:R:3 comment="BaTiBeN3 GGA-PBE optimized geometry" dft_energy_ev_per_atom=-7.27 n_ef_per_ev_atom=0.480 e_form_raw_kcal_per_mol_atoms=-19.7 space_group="No. 11" total_magnetization_mub_per_fu=0.000 pbc="T T T"
Ba -1.336 0.451 1.531
Ba -4.518 0.600 4.962
Ti -3.074 -2.620 2.193
Ti -2.781 3.671 4.301
Be -0.650 3.082 2.974
Be -5.204 -2.031 3.519
N -5.138 -3.050 2.129
N -0.717 4.101 4.365
N -3.518 -1.941 4.118
N -2.337 2.992 2.375
N -3.715 -0.905 1.142
N -2.140 1.956 5.351

---

[22]
8
Lattice="7.792 0.000 0.000 0.000 7.792 0.000 3.896 3.896 8.802" Properties=species:S:1:pos:R:3 comment="BaSr2Li GGA-PBE optimized geometry" dft_energy_ev_per_atom=-1.20 e_above_lowest_polymorph_ev_per_atom=0.5831 n_ef_per_ev_atom=1.244 space_group="No. 141" total_magnetization_mub_per_fu=0.000 pbc="T T T"
Sr 3.898 1.948 2.201
Sr 3.894 5.844 2.201
Sr 5.844 7.789 6.602
Sr 9.739 7.794 6.602
Ba 0.000 0.000 0.000
Ba 7.792 3.896 4.401
Li 3.896 3.896 0.000
Li 3.896 7.792 4.401

---

[23]
20
Lattice="9.377 -2.109 -2.189 0.757 8.679 -2.052 0.757 -2.372 8.597" Properties=species:S:1:pos:R:3 comment="Pm6Nd2SmHo GGA-PBE optimized geometry" dft_energy_ev_per_atom=-4.62 n_ef_per_ev_atom=1.462 space_group="No. 15" total_magnetization_mub_per_fu=0.000 pbc="T T T"
Pm 1.180 -0.838 6.068
Pm 5.023 -0.842 6.063
Pm 9.711 5.036 -1.711
Pm 5.868 5.040 -1.707
Pm 3.991 6.865 0.974
Pm 2.211 4.533 -1.446
Pm 6.900 -2.667 3.382
Pm 8.680 -0.335 5.802
Pm 2.032 4.702 2.554
Pm 4.170 2.875 0.657
Pm 8.859 -0.504 1.803
Pm 6.721 1.323 3.699
Nd 5.429 4.344 3.394
Nd 0.773 2.022 0.985
Nd 5.462 -0.146 0.962
Nd 10.118 2.176 3.372
Sm 3.101 7.938 -2.392
Sm 7.790 -3.740 6.749
Ho 3.101 1.609 3.705
Ho 7.790 2.589 0.651